#one
This record from Alexandria via LeMat-Bulk describes Ta4BeAl after structural relaxation. The functional is PBE.

```
Ta4BeAl
1.0
-2.2197 -3.7054 2.6374
-1.4554 -2.8829 -5.2752
5.3646 -3.0721 0.1989
Ta Al Be
8 2 2
direct
0.5000 0.6396 0.1766
0.0000 0.3604 0.1766
0.0000 0.1766 0.6396
0.5000 0.8234 0.6396
0.5000 0.1766 0.3604
0.0000 0.6396 0.8234
0.0000 0.8234 0.3604
0.5000 0.3604 0.8234
0.2500 0.0000 0.0000
0.7500 0.0000 0.0000
0.7500 0.5000 0.5000
0.2500 0.5000 0.5000
```

Summary:
Magnetic moment in μB/cell: 0.00

***

#two
This record from Alexandria via LeMat-Bulk describes Ta4BeAl after structural relaxation. The functional is PBE.

```
Ta4BeAl
1.0
0.0000 3.8269 3.8269
3.8269 0.0000 3.8269
3.8269 3.8269 0.0000
Ta Be Al
4 1 1
direct
0.3750 0.8749 0.3750
0.3750 0.3750 0.3750
0.8749 0.3750 0.3750
0.3750 0.3750 0.8749
0.0000 0.0000 0.0000
0.7500 0.7500 0.7500
```

Summary:
Magnetic moment in μB/cell: 0.00

***

Which structure is most stable, and how do the rest compare? From most to least stable: #one, #two.